## w
Below is a geometry-optimized Tl2CuPt structure, with properties calculated at the PBE-GGA level.

a = 3.589 Å, b = 3.611 Å, c = 6.103 Å
α = 90.00°, β = 90.00°, γ = 90.00°
Space group Pmmm (No. 47)
Asymmetric unit:
1 Tl 0.000 0.000 0.249 [2 per cell]
2 Cu 0.500 0.500 0.000 [1 per cell]
3 Pt 0.500 0.500 0.500 [1 per cell]

Calculated values
Size of the total moment = 0.000 μB/cell

## x
Below is a geometry-optimized Tl2CuPt structure, with properties calculated at the PBE-GGA level.

a = 3.069 Å, b = 3.718 Å, c = 7.653 Å
α = 90.00°, β = 90.00°, γ = 90.00°
Space group Pmm2 (No. 25)
Asymmetric unit:
1 Tl 0.000 0.000 0.000 [1 per cell]
2 Tl 0.500 0.500 0.368 [1 per cell]
3 Cu 0.500 0.500 0.752 [1 per cell]
4 Pt 0.000 0.000 0.614 [1 per cell]

Calculated values
Size of the total moment = 0.000 μB/cell

In terms of stability, x leads; the second structure lies 14.4 kJ/mol of atoms higher.

## w
Below is a geometry-optimized TlCuPt3 structure, with properties calculated at the PBE-GGA level.

a = 5.044 Å, b = 5.044 Å, c = 5.044 Å
α = 90.00°, β = 90.00°, γ = 90.00°
Space group Pm-3m (No. 221)
Asymmetric unit:
1 Tl 0.000 0.000 0.000 [1 per cell]
2 Cu 0.500 0.500 0.500 [1 per cell]
3 Pt 0.000 0.000 0.500 [3 per cell]

Calculated values
Size of the total moment = 0.000 μB/cell

## x
Below is a geometry-optimized TlCuPt3 structure, with properties calculated at the PBE-GGA level.

a = 4.647 Å, b = 4.647 Å, c = 4.647 Å
α = 90.00°, β = 90.00°, γ = 90.00°
Space group Pm-3m (No. 221)
Asymmetric unit:
1 Tl 0.000 0.000 0.000 [1 per cell]
2 Cu 0.500 0.500 0.500 [1 per cell]
3 Pt 0.000 0.500 0.500 [3 per cell]

Calculated values
Size of the total moment = 0.000 μB/cell

In terms of stability, x leads; the second structure lies 81.2 kJ/mol of atoms higher.

## w
Below is a geometry-optimized TlCu3Pt structure, with properties calculated at the PBE-GGA level.

a = 4.782 Å, b = 4.782 Å, c = 4.782 Å
α = 90.00°, β = 90.00°, γ = 90.00°
Space group Pm-3m (No. 221)
Asymmetric unit:
1 Tl 0.000 0.000 0.000 [1 per cell]
2 Cu 0.000 0.500 0.500 [3 per cell]
3 Pt 0.500 0.500 0.500 [1 per cell]

Calculated values
Size of the total moment = 0.000 μB/cell

## x
Below is a geometry-optimized TlCu3Pt structure, with properties calculated at the PBE-GGA level.

a = 4.751 Å, b = 4.751 Å, c = 4.751 Å
α = 90.00°, β = 90.00°, γ = 90.00°
Space group Pm-3m (No. 221)
Asymmetric unit:
1 Tl 0.000 0.000 0.000 [1 per cell]
2 Cu 0.000 0.000 0.500 [3 per cell]
3 Pt 0.500 0.500 0.500 [1 per cell]

Calculated values
Size of the total moment = 0.000 μB/cell

In terms of stability, w leads; the second structure lies 68.2 kJ/mol of atoms higher.

## w
Below is a geometry-optimized TmCu2Pt structure, with properties calculated at the PBE-GGA level.

a = 6.368 Å, b = 6.368 Å, c = 6.368 Å
α = 90.00°, β = 90.00°, γ = 90.00°
Space group Fm-3m (No. 225)
Asymmetric unit:
1 Tm 0.000 0.000 0.000 [4 per cell]
2 Cu 0.250 0.250 0.250 [8 per cell]
3 Pt 0.000 0.000 0.500 [4 per cell]

Calculated values
Size of the total moment = 0.000 μB/cell

## x
Below is a geometry-optimized TmCu2Pt structure, with properties calculated at the PBE-GGA level.

a = 3.968 Å, b = 3.968 Å, c = 4.181 Å
α = 90.00°, β = 90.00°, γ = 90.00°
Space group P4/mmm (No. 123)
Asymmetric unit:
1 Tm 0.000 0.000 0.000 [1 per cell]
2 Cu 0.000 0.500 0.500 [2 per cell]
3 Pt 0.500 0.500 0.000 [1 per cell]

Calculated values
Size of the total moment = 0.000 μB/cell

In terms of stability, w leads; the second structure lies 3.0 kJ/mol of atoms higher.

## w
Below is a geometry-optimized TmCuPt structure, with properties calculated at the PBE-GGA level.

a = 6.887 Å, b = 4.024 Å, c = 7.998 Å
α = 90.00°, β = 90.00°, γ = 90.00°
Space group Pnma (No. 62)
Asymmetric unit:
1 Tm 0.041 0.250 0.191 [4 per cell]
2 Cu 0.132 0.250 0.567 [4 per cell]
3 Pt 0.250 0.250 0.883 [4 per cell]

Calculated values
Size of the total moment = 0.000 μB/cell

## x
Below is a geometry-optimized TmCuPt structure, with properties calculated at the PBE-GGA level.

a = 4.928 Å, b = 8.786 Å, c = 5.051 Å
α = 90.00°, β = 90.00°, γ = 90.00°
Space group Cmcm (No. 63)
Asymmetric unit:
1 Tm 0.000 0.240 0.250 [4 per cell]
2 Cu 0.000 0.437 0.750 [4 per cell]
3 Pt 0.000 0.096 0.750 [4 per cell]

Calculated values
Size of the total moment = 0.000 μB/cell

In terms of stability, w leads; the second structure lies 13.0 kJ/mol of atoms higher.

## w
Below is a geometry-optimized TmCuPt structure, with properties calculated at the PBE-GGA level.

a = 4.252 Å, b = 9.622 Å, c = 5.392 Å
α = 90.00°, β = 90.00°, γ = 90.00°
Space group Cmcm (No. 63)
Asymmetric unit:
1 Tm 0.000 0.205 0.250 [4 per cell]
2 Cu 0.000 0.500 0.000 [4 per cell]
3 Pt 0.000 0.097 0.750 [4 per cell]

Calculated values
Size of the total moment = 0.000 μB/cell

## x
Below is a geometry-optimized TmCuPt structure, with properties calculated at the PBE-GGA level.

a = 3.556 Å, b = 3.556 Å, c = 8.603 Å
α = 90.00°, β = 90.00°, γ = 90.00°
Space group I4mm (No. 107)
Asymmetric unit:
1 Tm 0.000 0.000 0.000 [2 per cell]
2 Cu 0.000 0.000 0.675 [2 per cell]
3 Pt 0.000 0.000 0.339 [2 per cell]

Calculated values
Size of the total moment = 0.000 μB/cell

In terms of stability, w leads; the second structure lies 13.2 kJ/mol of atoms higher.